[1]
10
Lattice="6.728 0.000 0.000 0.000 6.717 0.000 0.000 -3.358 7.919" Properties=species:S:1:pos:R:3 comment="PBE-GGA PmNdYTh2, optimized geometry" dft_energy_ry_per_atom=-0.4251 ef_ev_per_atom=0.381 sg="Cmcm, No. 63" magmom_total_mub_per_atom=0.0000 pbc="T T T"
Th 3.364 5.026 0.000
Nd 5.046 3.358 3.855
Th 0.000 5.026 0.000
Y 5.046 0.000 5.515
Pm 5.046 0.000 2.387
Th 3.364 1.691 0.000
Pm 1.682 3.358 5.532
Y 1.682 3.358 2.403
Th 0.000 1.691 0.000
Nd 1.682 0.000 4.063

***

[2]
12
Lattice="-2.908 -0.301 4.223 -4.137 -6.176 -3.289 8.792 -2.616 5.869" Properties=species:S:1:pos:R:3 comment="PBE-GGA Pm3NdYTh, optimized geometry" dft_energy_ry_per_atom=-0.4008 ef_ev_per_atom=0.030 sg="P2_1/m, No. 11" magmom_total_mub_per_atom=0.0000 pbc="T T T"
Th -2.229 -4.224 -0.274
Y -2.521 -6.580 2.480
Nd 1.329 -1.590 2.363
Pm 7.122 -3.408 6.224
Pm 1.058 -3.959 5.132
Pm 3.712 -5.966 3.693
Pm -5.376 -5.686 0.578
Pm 0.688 -5.135 1.670
Nd 0.418 -7.503 4.438
Th 3.976 -4.869 7.076
Pm -1.966 -3.127 3.108
Y 4.268 -2.513 4.322

***

[3]
12
Lattice="6.272 0.001 0.007 -3.134 5.433 0.007 -1.059 -1.834 11.674" Properties=species:S:1:pos:R:3 comment="PBE-GGA Pm3Nd2Y6Th, optimized geometry" dft_energy_ry_per_atom=-0.4271 ef_ev_per_atom=0.022 sg="C2/m, No. 12" magmom_total_mub_per_atom=0.0000 pbc="T T T"
Y 0.015 3.605 8.783
Y 2.102 3.640 2.913
Nd 3.136 1.812 0.007
Y 3.115 1.815 8.783
Y -1.035 1.786 2.905
Pm 1.040 1.800 5.844
Y 2.064 -0.004 2.905
Nd 0.002 3.622 0.007
Pm -2.091 3.608 5.844
Th 0.000 0.000 0.000
Pm 4.170 -0.008 5.844
Y -0.023 -0.039 8.776

***

[4]
12
Lattice="6.296 0.003 0.016 -3.144 5.455 0.016 -1.079 -1.868 11.915" Properties=species:S:1:pos:R:3 comment="PBE-GGA Pm6Nd3Y2Th, optimized geometry" dft_energy_ry_per_atom=-0.3849 ef_ev_per_atom=0.026 sg="C2/m, No. 12" magmom_total_mub_per_atom=0.0000 pbc="T T T"
Nd -2.109 3.612 5.974
Pm 2.067 -0.009 2.943
Th 0.000 0.000 0.000
Y 0.004 3.637 0.016
Pm -0.035 -0.061 8.985
Y 3.149 1.821 0.016
Pm -1.041 1.786 2.943
Nd 4.183 -0.022 5.974
Nd 1.037 1.795 5.974
Pm 3.114 1.804 9.004
Pm 2.109 3.651 2.962
Pm 0.007 3.599 9.004

***

Repeat the first record exactly.
10
Lattice="6.728 0.000 0.000 0.000 6.717 0.000 0.000 -3.358 7.919" Properties=species:S:1:pos:R:3 comment="PBE-GGA PmNdYTh2, optimized geometry" dft_energy_ry_per_atom=-0.4251 ef_ev_per_atom=0.381 sg="Cmcm, No. 63" magmom_total_mub_per_atom=0.0000 pbc="T T T"
Th 3.364 5.026 0.000
Nd 5.046 3.358 3.855
Th 0.000 5.026 0.000
Y 5.046 0.000 5.515
Pm 5.046 0.000 2.387
Th 3.364 1.691 0.000
Pm 1.682 3.358 5.532
Y 1.682 3.358 2.403
Th 0.000 1.691 0.000
Nd 1.682 0.000 4.063